{"formula": "RuSeN3", "functional": "SCAN", "state": "single point on PBEsol structure", "lattice_angstrom": [[3.8483, 0.0000, 0.0000], [0.0000, 3.8483, 0.0000], [0.0000, 0.0000, 3.8483]], "species": ["Ru", "Se", "N", "N", "N"], "frac_coords": [[0.0000, 0.0000, 0.0000], [0.5000, 0.5000, 0.5000], [0.0000, 0.0000, 0.5000], [0.0000, 0.5000, 0.0000], [0.5000, 0.0000, 0.0000]], "e_form_raw_ev_per_atom": 1.547, "e_tot_ev_per_atom": -15.008, "total_magnetization_mub_per_fu": 0.0}